{"formula": "RbVIrO6", "functional": "PBE+U", "state": "optimized geometry", "dft_energy_ev_per_atom": -6.492, "dos_at_fermi_per_ev_cell": 5.19, "lattice_angstrom": [[5.200, 0.000, 0.000], [2.600, 4.503, 0.000], [0.000, 0.000, 6.339]], "species": ["O", "O", "O", "O", "O", "O", "Ir", "Rb", "V"], "fractional_positions": [[0.610, 0.995, 0.332], [0.995, 0.395, 0.332], [0.395, 0.995, 0.668], [0.610, 0.395, 0.668], [0.995, 0.610, 0.668], [0.395, 0.610, 0.332], [0.333, 0.333, 0.500], [0.000, 0.000, 0.000], [0.667, 0.667, 0.500]]}